A relaxed LiTaW crystal, computed with PBE.

abc: 2.6901 5.5068 6.9091
angles: 80.16 82.64 81.47
Last column: nearest neighbours and their distance in Å.
Space group P1 (No. 1)
Unique sites:
Li1 0.0000 0.0000 0.0000  3 Li 2.58-2.69, 2 Ta 2.80-2.83, 2 W 2.82-2.87
Li2 0.1920 0.1418 0.3172  3 Li 2.58-2.69, 2 W 2.79-2.87, 1 Ta 2.81
Ta1 0.3582 0.3149 0.6597  3 Ta 2.69-2.84, 3 W 2.80-2.91, 2 Li 2.81-2.83
Ta2 0.5229 0.5223 0.9923  3 Ta 2.69-2.84, 2 W 2.74-2.77, 3 Li 2.80-2.97
W1 0.7385 0.6426 0.3387  3 W 2.62-2.69, 2 Ta 2.74-2.80, 3 Li 2.87-2.91
W2 0.8942 0.8162 0.6530  3 W 2.62-2.69, 3 Ta 2.77-2.91, 2 Li 2.79-2.82

## Properties
Calculated total energy (eV/f.u.): -25.67
Total magnetic moment (μB/cell): 0.0
Energy of formation (eV/f.u.): 1.05
DOS at the Fermi energy (states/eV/atom): 0.757